(1)
Computed, not measured: crystalline P2IrPb at its relaxed geometry at the PBE level of DFT.

Computed properties:
* symmetry: Cmmm, No. 65
* calculated density: 10.77 g/cm³
* energy of formation: 0.701 eV/atom
* crystal system: orthorhombic
* DOS(E_F): 2.04 states/eV per cell

Cell and atoms, written as POSCAR:
```
P2IrPb
1.0
-3.577 2.266 2.107
-0.529 -4.335 1.816
1.948 0.792 2.456
Ir P Pb
1 2 1
direct
0.000 0.500 0.500 Ir
0.000 0.000 0.000 P
0.500 0.500 0.000 P
0.500 0.000 0.500 Pb
```


(2)
Computed, not measured: crystalline LiInPbF6 at its relaxed geometry at the PBE level of DFT.

Computed properties:
* symmetry: P-31c, No. 163
* calculated density: 5.29 g/cm³
* crystal system: trigonal
* formation energy from raw total energies: -2.593 eV/atom
* DOS(E_F): 0.00 states/eV per cell

Cell and atoms, written as POSCAR:
```
LiInPbF6
1.0
-4.653 2.176 1.949
-0.158 -4.636 -2.945
1.069 -5.703 8.920
Li F In Pb
2 12 2 2
direct
0.667 0.333 0.250 Li
0.333 0.667 0.750 Li
0.639 0.636 0.142 F
0.361 0.997 0.642 F
0.361 0.364 0.858 F
0.003 0.364 0.642 F
0.639 0.003 0.358 F
0.364 0.361 0.358 F
0.364 0.003 0.142 F
0.003 0.639 0.858 F
0.997 0.361 0.142 F
0.636 0.997 0.858 F
0.997 0.636 0.358 F
0.636 0.639 0.642 F
0.667 0.333 0.750 In
0.333 0.667 0.250 In
0.000 0.000 0.500 Pb
0.000 0.000 0.000 Pb
```


(3)
Computed, not measured: crystalline Hg2Te at its relaxed geometry at the PBE level of DFT.

Computed properties:
* symmetry: P6/mmm, No. 191
* calculated density: 10.18 g/cm³
* crystal system: hexagonal
* polymorph energy (0 for the lowest one): 0.2738 eV per atom
* formation energy from raw total energies: 0.244 eV/atom
* DOS(E_F): 2.55 states/eV per cell

Cell and atoms, written as POSCAR:
```
Hg2Te
1.0
4.902 0.000 0.000
-2.451 4.245 0.000
0.000 0.000 4.144
Te Hg
1 2
direct
0.000 0.000 0.000 Te
0.333 0.667 0.500 Hg
0.667 0.333 0.500 Hg
```